Here is CuMoIr2 after structural relaxation from Alexandria. Energies are from PBE.

Values from the calculation:
- ΔH_f (0 K): 0.37 eV/f.u.
- Energy above the lowest structure with this stoichiometry: 0.2206 eV per atom
- Density: 15.56 g cm⁻³
- Crystal system: cubic
- E_tot: -0.5932 Ry/atom

a b c (Å): 4.346 4.346 4.346
angles (deg): 60.00 60.00 60.00
Positions (direct):
1 Cu 0.000 0.000 0.000
2 Mo 0.500 0.500 0.500
3 Ir 0.250 0.250 0.250
4 Ir 0.750 0.750 0.750

***

Here is CuMoIr2 after structural relaxation from Alexandria. Energies are from PBE.

Values from the calculation:
- ΔH_f (0 K): -0.18 eV/f.u.
- Energy above the lowest structure with this stoichiometry: 0.0829 eV per atom
- Density: 15.79 g cm⁻³
- Crystal system: orthorhombic
- E_tot: -0.6033 Ry/atom

a b c (Å): 2.738 3.930 5.315
angles (deg): 90.00 90.00 90.00
Positions (direct):
1 Cu 0.000 0.000 0.000
2 Mo 0.500 0.500 0.746
3 Ir 0.000 0.000 0.502
4 Ir 0.500 0.500 0.218

***

Here is CuMoIr2 after structural relaxation from Alexandria. Energies are from PBE.

Values from the calculation:
- ΔH_f (0 K): -0.08 eV/f.u.
- Energy above the lowest structure with this stoichiometry: 0.1100 eV per atom
- Density: 15.81 g cm⁻³
- Crystal system: tetragonal
- E_tot: -0.6013 Ry/atom

a b c (Å): 4.819 4.819 4.819
angles (deg): 133.91 133.91 67.23
Positions (direct):
1 Cu 0.000 0.000 0.000
2 Mo 0.750 0.250 0.500
3 Ir 0.250 0.750 0.500
4 Ir 0.500 0.500 0.000

***

Here is CuMoIr2 after structural relaxation from Alexandria. Energies are from PBE.

Values from the calculation:
- ΔH_f (0 K): -0.43 eV/f.u.
- Energy above the lowest structure with this stoichiometry: 0.0224 eV per atom
- Density: 15.80 g cm⁻³
- Crystal system: tetragonal
- E_tot: -0.6077 Ry/atom

a b c (Å): 2.795 2.795 7.322
angles (deg): 90.00 90.00 90.00
Positions (direct):
1 Cu 0.000 0.000 0.000
2 Mo 0.000 0.000 0.500
3 Ir 0.500 0.500 0.246
4 Ir 0.500 0.500 0.754

***

Here is CuMo2Ir after structural relaxation from Alexandria. Energies are from PBE.

Values from the calculation:
- ΔH_f (0 K): 0.22 eV/f.u.
- Energy above the lowest structure with this stoichiometry: 0.0933 eV per atom
- Density: 12.62 g cm⁻³
- Crystal system: monoclinic
- E_tot: -0.6321 Ry/atom

a b c (Å): 4.694 4.694 4.852
angles (deg): 97.96 97.96 33.83
Positions (direct):
1 Cu 0.000 0.000 0.000
2 Mo 0.507 0.507 0.510
3 Mo 0.749 0.749 0.225
4 Ir 0.251 0.251 0.742

***

Here is CuMoIr2 after structural relaxation from Alexandria. Energies are from PBE.

Values from the calculation:
- ΔH_f (0 K): 0.59 eV/f.u.
- Energy above the lowest structure with this stoichiometry: 0.2774 eV per atom
- Density: 15.39 g cm⁻³
- Crystal system: orthorhombic
- E_tot: -0.5890 Ry/atom

a b c (Å): 2.705 2.705 8.959
angles (deg): 90.00 90.00 116.47
Positions (direct):
1 Cu 0.000 0.000 0.000
2 Mo 0.000 0.000 0.500
3 Ir 0.500 0.500 0.247
4 Ir 0.500 0.500 0.753

***

Here is CuMoIrRu after structural relaxation from Alexandria. Energies are from PBE.

Values from the calculation:
- ΔH_f (0 K): 0.20 eV/f.u.
- Density: 13.19 g cm⁻³
- Crystal system: cubic
- E_tot: -0.6038 Ry/atom

a b c (Å): 4.320 4.320 4.320
angles (deg): 60.00 60.00 60.00
Positions (direct):
1 Cu 0.000 0.000 0.000
2 Mo 0.500 0.500 0.500
3 Ir 0.250 0.250 0.250
4 Ru 0.750 0.750 0.750

***

Here is CuSbMo2Ir after structural relaxation from Alexandria. Energies are from PBE.

Values from the calculation:
- Density: 8.93 g cm⁻³
- Crystal system: tetragonal
- Uncorrected formation energy: 2048 meV per atom
- E_tot: -0.4190 Ry/atom

a b c (Å): 4.880 4.880 4.444
angles (deg): 90.00 90.00 90.00
Positions (direct):
1 Cu 0.000 0.000 0.000
2 Sb 0.000 0.000 0.500
3 Mo 0.000 0.500 0.500
4 Mo 0.500 0.000 0.500
5 Ir 0.500 0.500 0.000

***

Here is Cu3IrN after structural relaxation from Alexandria. Energies are from PBE.

Values from the calculation:
- Energy above the lowest structure with this stoichiometry: 1.7805 eV per atom
- Density: 6.75 g cm⁻³
- Crystal system: cubic
- Uncorrected formation energy: 2285 meV per atom
- E_tot: -0.2654 Ry/atom

a b c (Å): 4.605 4.605 4.605
angles (deg): 90.00 90.00 90.00
Positions (direct):
1 Cu 0.000 0.000 0.500
2 Cu 0.000 0.500 0.000
3 Cu 0.500 0.000 0.000
4 Ir 0.000 0.000 0.000
5 N 0.500 0.500 0.500

***

Here is CuIrN2 after structural relaxation from Alexandria. Energies are from PBE.

Values from the calculation:
- Energy above the lowest structure with this stoichiometry: 0.0000 eV per atom
- Density: 9.84 g cm⁻³
- Crystal system: tetragonal
- Uncorrected formation energy: 646 meV per atom
- E_tot: -0.4966 Ry/atom

a b c (Å): 5.691 5.691 5.691
angles (deg): 133.35 133.35 68.10
Positions (direct):
1 Cu 0.000 0.000 0.000
2 Cu 0.750 0.250 0.500
3 Ir 0.250 0.750 0.500
4 Ir 0.500 0.500 0.000
5 N 0.137 0.625 0.012
6 N 0.375 0.387 0.512
7 N 0.613 0.125 0.988
8 N 0.875 0.863 0.488

***

Here is Cu3IrN after structural relaxation from Alexandria. Energies are from PBE.

Values from the calculation:
- Energy above the lowest structure with this stoichiometry: 0.0000 eV per atom
- Density: 11.43 g cm⁻³
- Crystal system: cubic
- Uncorrected formation energy: 504 meV per atom
- E_tot: -0.3962 Ry/atom

a b c (Å): 3.863 3.863 3.863
angles (deg): 90.00 90.00 90.00
Positions (direct):
1 Cu 0.000 0.000 0.500
2 Cu 0.000 0.500 0.000
3 Cu 0.500 0.000 0.000
4 Ir 0.500 0.500 0.500
5 N 0.000 0.000 0.000

***

Here is CuIrN after structural relaxation from Alexandria. Energies are from PBE.

Values from the calculation:
- Density: 12.29 g cm⁻³
- Crystal system: triclinic
- Uncorrected formation energy: 330 meV per atom
- E_tot: -0.4972 Ry/atom

a b c (Å): 2.801 2.904 9.184
angles (deg): 80.90 81.32 89.96
Positions (direct):
1 Cu 0.210 0.209 0.081
2 Cu 0.790 0.791 0.919
3 Ir 0.389 0.389 0.725
4 Ir 0.611 0.611 0.275
5 N 0.034 0.534 0.432
6 N 0.966 0.466 0.568

***

Here is CuIrN3 after structural relaxation from Alexandria. Energies are from PBE.

Values from the calculation:
- Density: 8.71 g cm⁻³
- Crystal system: cubic
- Uncorrected formation energy: 1648 meV per atom
- E_tot: -0.4365 Ry/atom

a b c (Å): 3.843 3.843 3.843
angles (deg): 90.00 90.00 90.00
Positions (direct):
1 Cu 0.000 0.000 0.000
2 Ir 0.500 0.500 0.500
3 N 0.000 0.500 0.500
4 N 0.500 0.000 0.500
5 N 0.500 0.500 0.000

***

Here is CuIr3N after structural relaxation from Alexandria. Energies are from PBE.

Values from the calculation:
- Energy above the lowest structure with this stoichiometry: 2.3171 eV per atom
- Density: 11.92 g cm⁻³
- Crystal system: cubic
- Uncorrected formation energy: 2945 meV per atom
- E_tot: -0.3569 Ry/atom

a b c (Å): 4.501 4.501 4.501
angles (deg): 90.00 90.00 90.00
Positions (direct):
1 Cu 0.000 0.000 0.000
2 Ir 0.000 0.000 0.500
3 Ir 0.000 0.500 0.000
4 Ir 0.500 0.000 0.000
5 N 0.500 0.500 0.500

***

Here is CuIrN2 after structural relaxation from Alexandria. Energies are from PBE.

Values from the calculation:
- Energy above the lowest structure with this stoichiometry: 0.6946 eV per atom
- Density: 12.56 g cm⁻³
- Crystal system: cubic
- Uncorrected formation energy: 1341 meV per atom
- E_tot: -0.4455 Ry/atom

a b c (Å): 3.757 3.757 3.757
angles (deg): 60.00 60.00 60.00
Positions (direct):
1 Cu 0.000 0.000 0.000
2 Ir 0.500 0.500 0.500
3 N 0.250 0.250 0.250
4 N 0.750 0.750 0.750

***

Here is CuIrN2 after structural relaxation from Alexandria. Energies are from PBE.

Values from the calculation:
- Energy above the lowest structure with this stoichiometry: 0.0397 eV per atom
- Density: 9.80 g cm⁻³
- Crystal system: trigonal
- Uncorrected formation energy: 686 meV per atom
- E_tot: -0.4936 Ry/atom

a b c (Å): 6.012 6.012 6.012
angles (deg): 29.99 29.99 29.99
Positions (direct):
1 Cu 0.000 0.000 0.000
2 Ir 0.500 0.500 0.500
3 N 0.108 0.108 0.108
4 N 0.892 0.892 0.892

***

Here is Cu2IrN after structural relaxation from Alexandria. Energies are from PBE.

Values from the calculation:
- Density: 10.95 g cm⁻³
- Crystal system: tetragonal
- Uncorrected formation energy: 588 meV per atom
- E_tot: -0.4231 Ry/atom

a b c (Å): 5.470 5.470 5.470
angles (deg): 97.14 97.14 138.71
Positions (direct):
1 Cu 0.026 0.625 0.901
2 Cu 0.375 0.276 0.401
3 Cu 0.724 0.125 0.099
4 Cu 0.875 0.974 0.599
5 Ir 0.250 0.750 0.500
6 Ir 0.500 0.500 0.000
7 N 0.000 0.000 0.000
8 N 0.750 0.250 0.500

***

Here is CuIr3N after structural relaxation from Alexandria. Energies are from PBE.

Values from the calculation:
- Energy above the lowest structure with this stoichiometry: 0.0000 eV per atom
- Density: 16.32 g cm⁻³
- Crystal system: cubic
- Uncorrected formation energy: 628 meV per atom
- E_tot: -0.5272 Ry/atom

a b c (Å): 4.053 4.053 4.053
angles (deg): 90.00 90.00 90.00
Positions (direct):
1 Cu 0.000 0.000 0.000
2 Ir 0.000 0.500 0.500
3 Ir 0.500 0.000 0.500
4 Ir 0.500 0.500 0.000
5 N 0.500 0.500 0.500

***

Here is CuIrN3 after structural relaxation from Alexandria. Energies are from PBE.

Values from the calculation:
- Density: 9.90 g cm⁻³
- Crystal system: cubic
- Uncorrected formation energy: 2282 meV per atom
- E_tot: -0.3899 Ry/atom

a b c (Å): 3.683 3.683 3.683
angles (deg): 90.00 90.00 90.00
Positions (direct):
1 Cu 0.000 0.000 0.000
2 Ir 0.500 0.500 0.500
3 N 0.000 0.000 0.500
4 N 0.000 0.500 0.000
5 N 0.500 0.000 0.000

***

Here is CuNi2IrN after structural relaxation from Alexandria. Energies are from PBE.

Values from the calculation:
- Density: 11.26 g cm⁻³
- Crystal system: tetragonal
- Uncorrected formation energy: 172 meV per atom
- E_tot: -0.4702 Ry/atom

a b c (Å): 3.810 3.810 3.934
angles (deg): 90.00 90.00 90.00
Positions (direct):
1 Cu 0.000 0.000 0.000
2 Ni 0.000 0.500 0.500
3 Ni 0.500 0.000 0.500
4 Ir 0.500 0.500 0.000
5 N 0.500 0.500 0.500

***

Here is CuIrN2O after structural relaxation from Alexandria. Energies are from PBE.

Values from the calculation:
- Density: 8.16 g cm⁻³
- Crystal system: tetragonal
- Uncorrected formation energy: 978 meV per atom
- E_tot: -0.4362 Ry/atom

a b c (Å): 3.734 3.734 4.373
angles (deg): 90.00 90.00 90.00
Positions (direct):
1 Cu 0.000 0.000 0.000
2 Ir 0.500 0.500 0.500
3 N 0.000 0.500 0.500
4 N 0.500 0.000 0.500
5 O 0.500 0.500 0.000

***

Here is CuIrN2O after structural relaxation from Alexandria. Energies are from PBE.

Values from the calculation:
- Density: 9.70 g cm⁻³
- Crystal system: tetragonal
- Uncorrected formation energy: 1771 meV per atom
- E_tot: -0.3779 Ry/atom

a b c (Å): 3.709 3.709 3.731
angles (deg): 90.00 90.00 90.00
Positions (direct):
1 Cu 0.000 0.000 0.000
2 Ir 0.500 0.500 0.500
3 N 0.000 0.500 0.000
4 N 0.500 0.000 0.000
5 O 0.000 0.000 0.500

***

Here is CuIrNO2 after structural relaxation from Alexandria. Energies are from PBE.

Values from the calculation:
- Density: 8.58 g cm⁻³
- Crystal system: tetragonal
- Uncorrected formation energy: 455 meV per atom
- E_tot: -0.4251 Ry/atom

a b c (Å): 3.955 3.955 3.733
angles (deg): 90.00 90.00 90.00
Positions (direct):
1 Cu 0.000 0.000 0.000
2 Ir 0.500 0.500 0.500
3 N 0.500 0.500 0.000
4 O 0.000 0.500 0.500
5 O 0.500 0.000 0.500

***

Here is CuIrNO2 after structural relaxation from Alexandria. Energies are from PBE.

Values from the calculation:
- Density: 9.68 g cm⁻³
- Crystal system: tetragonal
- Uncorrected formation energy: 1227 meV per atom
- E_tot: -0.3684 Ry/atom

a b c (Å): 3.714 3.714 3.752
angles (deg): 90.00 90.00 90.00
Positions (direct):
1 Cu 0.000 0.000 0.000
2 Ir 0.500 0.500 0.500
3 N 0.000 0.000 0.500
4 O 0.000 0.500 0.000
5 O 0.500 0.000 0.000

***

Here is CuIrSN2 after structural relaxation from Alexandria. Energies are from PBE.

Values from the calculation:
- Energy above the lowest structure with this stoichiometry: 0.9876 eV per atom
- Density: 8.06 g cm⁻³
- Crystal system: tetragonal
- Uncorrected formation energy: 1870 meV per atom
- E_tot: -0.3584 Ry/atom

a b c (Å): 3.630 3.630 4.940
angles (deg): 90.00 90.00 90.00
Positions (direct):
1 Cu 0.000 0.000 0.000
2 Ir 0.500 0.500 0.500
3 S 0.000 0.000 0.500
4 N 0.000 0.500 0.000
5 N 0.500 0.000 0.000

***

Here is CuIrSN2 after structural relaxation from Alexandria. Energies are from PBE.

Values from the calculation:
- Energy above the lowest structure with this stoichiometry: 0.0000 eV per atom
- Density: 7.00 g cm⁻³
- Crystal system: tetragonal
- Uncorrected formation energy: 883 meV per atom
- E_tot: -0.4310 Ry/atom

a b c (Å): 3.711 3.711 5.443
angles (deg): 90.00 90.00 90.00
Positions (direct):
1 Cu 0.000 0.000 0.000
2 Ir 0.500 0.500 0.500
3 S 0.500 0.500 0.000
4 N 0.000 0.500 0.500
5 N 0.500 0.000 0.500

***

Here is CuIrSeN2 after structural relaxation from Alexandria. Energies are from PBE.

Values from the calculation:
- Energy above the lowest structure with this stoichiometry: 1.0020 eV per atom
- Density: 7.49 g cm⁻³
- Crystal system: tetragonal
- Uncorrected formation energy: 1807 meV per atom
- E_tot: -0.3537 Ry/atom

a b c (Å): 3.595 3.595 6.223
angles (deg): 90.00 90.00 90.00
Positions (direct):
1 Cu 0.000 0.000 0.000
2 Ir 0.500 0.500 0.500
3 Se 0.000 0.000 0.500
4 N 0.000 0.500 0.000
5 N 0.500 0.000 0.000

***

Here is CuIrSeN2 after structural relaxation from Alexandria. Energies are from PBE.

Values from the calculation:
- Energy above the lowest structure with this stoichiometry: 0.0000 eV per atom
- Density: 7.66 g cm⁻³
- Crystal system: tetragonal
- Uncorrected formation energy: 805 meV per atom
- E_tot: -0.4273 Ry/atom

a b c (Å): 3.734 3.734 5.640
angles (deg): 90.00 90.00 90.00
Positions (direct):
1 Cu 0.000 0.000 0.000
2 Ir 0.500 0.500 0.500
3 Se 0.500 0.500 0.000
4 N 0.000 0.500 0.500
5 N 0.500 0.000 0.500

***

Here is CuTe2IrN after structural relaxation from Alexandria. Energies are from PBE.

Values from the calculation:
- Energy above the lowest structure with this stoichiometry: 0.5103 eV per atom
- Density: 9.42 g cm⁻³
- Crystal system: tetragonal
- Uncorrected formation energy: 1035 meV per atom
- E_tot: -0.3291 Ry/atom

a b c (Å): 5.206 5.206 3.416
angles (deg): 90.00 90.00 90.00
Positions (direct):
1 Cu 0.000 0.000 0.000
2 Te 0.000 0.500 0.000
3 Te 0.500 0.000 0.000
4 Ir 0.500 0.500 0.500
5 N 0.000 0.000 0.500